A PBEsol-optimized structure of PIrPdO2, computed with SCAN.

extended XYZ file:
```
5
Lattice="3.644 0.000 0.000 0.000 3.644 0.000 0.000 0.000 5.399" Properties=species:S:1:pos:R:3 pbc="T T T"
P 0.000 0.000 0.000
Ir 0.000 0.000 2.699
Pd 1.822 1.822 0.000
O 0.000 1.822 2.699
O 1.822 0.000 2.699
```

Properties
Its density of states at the Fermi level is 2.423 states/eV/cell. As for the raw total energy: -25.474 eV per atom. Its formation energy without anion corrections is -0.127 eV per atom. The calculation puts the magnetic moment at 0.0 μB/cell.

=====

A PBEsol-optimized structure of MnCdOs2, computed with SCAN.

extended XYZ file:
```
4
Lattice="2.711 0.000 0.000 0.000 4.213 0.000 -1.309 0.000 5.163" Properties=species:S:1:pos:R:3 pbc="T T T"
Mn 0.000 0.000 0.000
Cd -0.655 0.000 2.581
Os 0.744 2.107 1.156
Os 0.658 2.107 4.007
```

Properties
Its density of states at the Fermi level is 2.693 states/eV/cell. The value obtained for the formation energy is 8.82 kcal/mol of atoms. As for the raw total energy: -47.725 eV per atom. The calculation puts the magnetic moment at 2.8 μB/cell.

=====

A PBEsol-optimized structure of AsPRhBr2, computed with SCAN.

extended XYZ file:
```
5
Lattice="4.919 0.000 0.000 0.000 4.919 0.000 0.000 0.000 4.670" Properties=species:S:1:pos:R:3 pbc="T T T"
As 0.000 0.000 0.000
P 2.460 2.460 0.000
Rh 0.000 0.000 2.335
Br 0.000 2.460 2.335
Br 2.460 0.000 2.335
```

Properties
Its density of states at the Fermi level is 3.336 states/eV/cell. As for the raw total energy: -19.945 eV per atom. Its formation energy without anion corrections is 0.711 eV per atom. The calculation puts the magnetic moment at 0.0 μB/cell.

=====

A PBEsol-optimized structure of LiCu2Au2, computed with SCAN.

extended XYZ file:
```
5
Lattice="-1.929 1.929 5.683 1.929 -1.929 5.683 1.929 1.929 -5.683" Properties=species:S:1:pos:R:3 pbc="T T T"
Li 0.000 0.000 0.000
Cu 0.000 0.000 4.548
Cu 0.000 0.000 6.818
Au 1.929 0.000 2.842
Au 0.000 1.929 2.842
```

Properties
Its density of states at the Fermi level is 1.003 states/eV/cell. The value obtained for the formation energy is 0.29 kcal/mol of atoms. As for the raw total energy: -34.208 eV per atom. The calculation puts the magnetic moment at 0.0 μB/cell.

=====

A PBEsol-optimized structure of LaCo2Hg, computed with SCAN.

extended XYZ file:
```
4
Lattice="3.842 0.000 0.000 0.000 2.023 4.723 0.000 -2.023 4.723" Properties=species:S:1:pos:R:3 pbc="T T T"
La 0.000 0.000 0.000
Co 0.000 0.000 6.712
Co 1.921 0.000 5.623
Hg 1.921 0.000 2.828
```

Properties
Its density of states at the Fermi level is 1.477 states/eV/cell. The value obtained for the formation energy is 0.71 kcal/mol of atoms. As for the raw total energy: -36.439 eV per atom. The calculation puts the magnetic moment at 2.8 μB/cell.

=====

A PBEsol-optimized structure of Tb2SO2, computed with SCAN.

extended XYZ file:
```
5
Lattice="3.783 0.000 0.000 -1.891 3.276 0.000 0.000 0.000 6.553" Properties=species:S:1:pos:R:3 pbc="T T T"
Tb 0.000 2.184 1.846
Tb 1.891 1.092 4.707
S 0.000 0.000 0.000
O 0.000 2.184 4.125
O 1.891 1.092 2.428
```

Properties
Its density of states at the Fermi level is 0.000 states/eV/cell. As for the raw total energy: -26.661 eV per atom. Its formation energy without anion corrections is -3.538 eV per atom. The calculation puts the magnetic moment at 0.0 μB/cell.

=====

A PBEsol-optimized structure of AsRuRh2, computed with SCAN.

extended XYZ file:
```
4
Lattice="2.793 0.000 0.000 0.000 4.444 0.000 0.000 0.000 4.462" Properties=species:S:1:pos:R:3 pbc="T T T"
As 0.000 0.000 0.000
Ru 1.397 2.222 0.000
Rh 0.000 2.222 2.231
Rh 1.397 0.000 2.231
```

Properties
Its density of states at the Fermi level is 3.349 states/eV/cell. The value obtained for the formation energy is 1.41 kcal/mol of atoms. As for the raw total energy: -30.579 eV per atom. The calculation puts the magnetic moment at 1.3 μB/cell.

=====

A PBEsol-optimized structure of Sc2CuTc, computed with SCAN.

extended XYZ file:
```
4
Lattice="4.480 0.000 0.000 0.000 4.480 0.000 0.000 0.000 3.248" Properties=species:S:1:pos:R:3 pbc="T T T"
Sc 0.000 2.240 0.000
Sc 2.240 0.000 0.000
Cu 0.000 0.000 1.624
Tc 2.240 2.240 1.624
```

Properties
Its density of states at the Fermi level is 2.670 states/eV/cell. The value obtained for the formation energy is -6.31 kcal/mol of atoms. As for the raw total energy: -19.957 eV per atom. The calculation puts the magnetic moment at 0.0 μB/cell.

=====

A PBEsol-optimized structure of LiAl2, computed with SCAN.

extended XYZ file:
```
12
Lattice="5.693 0.000 0.000 0.000 3.990 0.000 0.000 0.000 8.476" Properties=species:S:1:pos:R:3 pbc="T T T"
Li 0.671 0.997 0.732
Li 2.176 2.992 4.970
Li 3.517 0.997 3.506
Li 5.022 2.992 7.743
Al 0.689 0.997 3.533
Al 0.771 0.997 6.322
Al 2.075 2.992 2.084
Al 2.158 2.992 7.770
Al 3.535 0.997 0.705
Al 3.618 0.997 6.391
Al 4.921 2.992 2.153
Al 5.004 2.992 4.943
```

Properties
Its density of states at the Fermi level is 3.798 states/eV/cell. The value obtained for the formation energy is -2.02 kcal/mol of atoms. As for the raw total energy: -6.052 eV per atom. For the energy above the most stable polymorph in this dataset, the calculation gives 0.0042 eV per atom. The calculation puts the magnetic moment at 0.1 μB/cell.

=====

A PBEsol-optimized structure of Zn2TeBr, computed with SCAN.

extended XYZ file:
```
4
Lattice="3.812 -3.755 0.000 3.812 3.755 0.000 -2.033 0.000 3.726" Properties=species:S:1:pos:R:3 pbc="T T T"
Zn 1.906 1.877 0.000
Zn 1.906 -1.877 0.000
Te 0.000 0.000 0.000
Br 3.812 0.000 0.000
```

Properties
Its density of states at the Fermi level is 0.795 states/eV/cell. As for the raw total energy: -21.077 eV per atom. For the energy above the most stable polymorph in this dataset, the calculation gives 0.0000 eV per atom. Its formation energy without anion corrections is -0.141 eV per atom. The calculation puts the magnetic moment at 0.0 μB/cell.

=====

A PBEsol-optimized structure of NaYTiO4, computed with SCAN.

extended XYZ file:
```
28
Lattice="12.316 0.000 0.000 0.000 5.374 0.000 0.000 0.000 5.230" Properties=species:S:1:pos:R:3 pbc="T T T"
Na 1.069 0.014 1.307
Na 1.069 2.672 3.922
Na 11.248 2.701 1.307
Na 11.248 5.359 3.922
Y 4.855 0.137 1.307
Y 4.855 2.549 3.922
Y 7.461 2.824 1.307
Y 7.461 5.236 3.922
Ti 2.942 2.736 1.307
Ti 2.942 5.324 3.922
Ti 9.375 0.049 1.307
Ti 9.375 2.638 3.922
O 1.205 2.950 1.307
O 1.205 5.111 3.922
O 3.181 1.343 0.000
O 3.181 1.343 2.615
O 3.589 4.030 0.000
O 3.589 4.030 2.615
O 5.366 0.379 3.922
O 5.366 2.308 1.307
O 6.950 3.066 3.922
O 6.950 4.995 1.307
O 8.727 1.343 0.000
O 8.727 1.343 2.615
O 9.136 4.030 0.000
O 9.136 4.030 2.615
O 11.111 0.263 1.307
O 11.111 2.424 3.922
```

Properties
Its density of states at the Fermi level is 0.000 states/eV/cell. As for the raw total energy: -13.716 eV per atom. Its formation energy without anion corrections is -3.286 eV per atom. The calculation puts the magnetic moment at 0.0 μB/cell.

=====

A PBEsol-optimized structure of CoSnP2Pd, computed with SCAN.

extended XYZ file:
```
5
Lattice="4.136 0.000 0.000 0.000 4.136 0.000 0.000 0.000 5.187" Properties=species:S:1:pos:R:3 pbc="T T T"
Co 0.000 0.000 0.000
Sn 0.000 0.000 2.593
P 0.000 2.068 0.000
P 2.068 0.000 0.000
Pd 2.068 2.068 2.593
```

Properties
Its density of states at the Fermi level is 3.708 states/eV/cell. The value obtained for the formation energy is 10.86 kcal/mol of atoms. As for the raw total energy: -20.889 eV per atom. The calculation puts the magnetic moment at 0.0 μB/cell.